[1]
## AcCoSn (PBE)

Data for a relaxed AcCoSn crystal.

a = 6.6153 Å, b = 6.6153 Å, c = 7.4643 Å
α = 90.00°, β = 90.00°, γ = 90.00°
Fractional coordinates of all 12 atoms:
Ac (0.2009, 0.2009, 0.0000)
Ac (0.2991, 0.7009, 0.2500)
Ac (0.7009, 0.2991, 0.7500)
Ac (0.7991, 0.7991, 0.5000)
Co (0.0473, 0.9527, 0.7500)
Co (0.4527, 0.4527, 0.5000)
Co (0.5473, 0.5473, 0.0000)
Co (0.9527, 0.0473, 0.2500)
Sn (0.1833, 0.1833, 0.5000)
Sn (0.3167, 0.6833, 0.7500)
Sn (0.6833, 0.3167, 0.2500)
Sn (0.8167, 0.8167, 0.0000)

Energy relative to the lowest polymorph listed for this composition ... 13.9 kJ/mol of atoms
Fermi-level density of states ... 6.49 states/eV/cell
Formation enthalpy at 0 K ... -0.15 eV per atom
SG ... P4_12_12 (92)

---

[2]
## MnReRu (PBE)

Data for a relaxed MnReRu crystal.

a = 8.5273 Å, b = 2.6870 Å, c = 7.2237 Å
α = 90.00°, β = 90.00°, γ = 90.00°
Fractional coordinates of all 12 atoms:
Mn (0.1364, 0.2500, 0.2498)
Mn (0.3636, 0.7500, 0.7498)
Mn (0.6364, 0.2500, 0.2502)
Mn (0.8636, 0.7500, 0.7502)
Re (0.1252, 0.7500, 0.5600)
Re (0.3748, 0.2500, 0.0600)
Re (0.6252, 0.7500, 0.9400)
Re (0.8748, 0.2500, 0.4400)
Ru (0.1001, 0.2500, 0.8885)
Ru (0.3999, 0.7500, 0.3885)
Ru (0.6001, 0.2500, 0.6115)
Ru (0.8999, 0.7500, 0.1115)

Energy relative to the lowest polymorph listed for this composition ... 13.7 kJ/mol of atoms
Fermi-level density of states ... 13.17 states/eV/cell
Formation enthalpy at 0 K ... 0.22 eV per atom
SG ... Pnma (62)

---

[3]
## PrY8Sc2 (PBE)

Data for a relaxed PrY8Sc2 crystal.

a = 9.3096 Å, b = 9.3096 Å, c = 9.3096 Å
α = 146.32°, β = 127.87°, γ = 63.51°
Fractional coordinates of all 11 atoms:
Pr (0.0000, 0.0000, 0.0000)
Y (0.1500, 0.8561, 0.2939)
Y (0.1651, 0.6651, 0.5000)
Y (0.2998, 0.5000, 0.7998)
Y (0.4378, 0.1439, 0.2939)
Y (0.5622, 0.8561, 0.7061)
Y (0.7002, 0.5000, 0.2002)
Y (0.8349, 0.3349, 0.5000)
Y (0.8500, 0.1439, 0.7061)
Sc (0.3007, 0.3007, 0.0000)
Sc (0.6993, 0.6993, 0.0000)

Energy relative to the lowest polymorph listed for this composition ... 0.0 kJ/mol of atoms
Fermi-level density of states ... 18.27 states/eV/cell
Formation enthalpy at 0 K ... 0.12 eV per atom
SG ... Immm (71)

---

[4]
## Mg2ZrRu (PBE)

Data for a relaxed Mg2ZrRu crystal.

a = 2.9635 Å, b = 2.9635 Å, c = 29.6042 Å
α = 90.00°, β = 90.00°, γ = 120.00°
Fractional coordinates of all 12 atoms:
Mg (0.0000, 0.0000, 0.2391)
Mg (0.0000, 0.0000, 0.7609)
Mg (0.3333, 0.6667, 0.4276)
Mg (0.3333, 0.6667, 0.9058)
Mg (0.6667, 0.3333, 0.0942)
Mg (0.6667, 0.3333, 0.5724)
Zr (0.0000, 0.0000, 0.0000)
Zr (0.3333, 0.6667, 0.6667)
Zr (0.6667, 0.3333, 0.3333)
Ru (0.0000, 0.0000, 0.5000)
Ru (0.3333, 0.6667, 0.1667)
Ru (0.6667, 0.3333, 0.8333)

Energy relative to the lowest polymorph listed for this composition ... 31.8 kJ/mol of atoms
Fermi-level density of states ... 11.67 states/eV/cell
Formation enthalpy at 0 K ... 0.13 eV per atom
SG ... R-3m (166)

---

[5]
## MnZnIr2 (PBE)

Data for a relaxed MnZnIr2 crystal.

a = 4.1700 Å, b = 4.1700 Å, c = 12.2691 Å
α = 90.00°, β = 90.00°, γ = 120.00°
Fractional coordinates of all 12 atoms:
Mn (0.0000, 0.0000, 0.0000)
Mn (0.3333, 0.6667, 0.6667)
Mn (0.6667, 0.3333, 0.3333)
Zn (0.0000, 0.0000, 0.2016)
Zn (0.3333, 0.6667, 0.8683)
Zn (0.6667, 0.3333, 0.5349)
Ir (0.0000, 0.0000, 0.4204)
Ir (0.0000, 0.0000, 0.6279)
Ir (0.3333, 0.6667, 0.0871)
Ir (0.3333, 0.6667, 0.2946)
Ir (0.6667, 0.3333, 0.7537)
Ir (0.6667, 0.3333, 0.9613)

Fermi-level density of states ... 8.80 states/eV/cell
Formation enthalpy at 0 K ... 0.09 eV per atom
SG ... R3m (160)

---

[6]
## Mg3Pa3CuN8 (PBE)

Data for a relaxed Mg3Pa3CuN8 crystal.

a = 6.4082 Å, b = 6.4082 Å, c = 6.5413 Å
α = 117.22°, β = 117.22°, γ = 64.35°
Fractional coordinates of all 15 atoms:
Mg (0.0000, 0.0000, 0.0000)
Mg (0.0000, 0.5000, 0.5000)
Mg (0.5000, 0.0000, 0.5000)
Pa (0.0000, 0.5000, 0.0000)
Pa (0.5000, 0.0000, 0.0000)
Pa (0.5000, 0.5000, 0.5000)
Cu (0.0000, 0.0000, 0.5000)
N (0.2233, 0.2233, 0.7309)
N (0.2467, 0.7371, 0.2512)
N (0.2482, 0.2482, 0.2472)
N (0.2629, 0.7533, 0.7488)
N (0.7371, 0.2467, 0.2512)
N (0.7518, 0.7518, 0.7528)
N (0.7533, 0.2629, 0.7488)
N (0.7767, 0.7767, 0.2691)

Fermi-level density of states ... 3.80 states/eV/cell
E_form (uncorrected) ... -12.44 eV/f.u.
SG ... C2/m (12)

---

[7]
## TiHg2Br (PBE)

Data for a relaxed TiHg2Br crystal.

a = 9.6109 Å, b = 9.6109 Å, c = 5.0748 Å
α = 90.00°, β = 90.00°, γ = 90.00°
Fractional coordinates of all 16 atoms:
Ti (0.0000, 0.0000, 0.0000)
Ti (0.0000, 0.5000, 0.2500)
Ti (0.5000, 0.0000, 0.7500)
Ti (0.5000, 0.5000, 0.5000)
Hg (0.1561, 0.2500, 0.1250)
Hg (0.2500, 0.6561, 0.3750)
Hg (0.2500, 0.8439, 0.8750)
Hg (0.3439, 0.2500, 0.6250)
Hg (0.6561, 0.7500, 0.6250)
Hg (0.7500, 0.1561, 0.8750)
Hg (0.7500, 0.3439, 0.3750)
Hg (0.8439, 0.7500, 0.1250)
Br (0.0000, 0.0000, 0.5000)
Br (0.0000, 0.5000, 0.7500)
Br (0.5000, 0.0000, 0.2500)
Br (0.5000, 0.5000, 0.0000)

Energy relative to the lowest polymorph listed for this composition ... 0.0 kJ/mol of atoms
Fermi-level density of states ... 12.58 states/eV/cell
E_form (uncorrected) ... 0.05 eV/f.u.
SG ... I-42d (122)

---

[8]
## CeAlNi4 (PBE)

Data for a relaxed CeAlNi4 crystal.

a = 5.0833 Å, b = 5.0833 Å, c = 3.8873 Å
α = 90.00°, β = 90.00°, γ = 120.00°
Fractional coordinates of all 6 atoms:
Ce (0.0000, 0.0000, 0.0000)
Al (0.3333, 0.6667, 0.0000)
Ni (0.5021, 0.0042, 0.5000)
Ni (0.5021, 0.4979, 0.5000)
Ni (0.6667, 0.3333, 0.0000)
Ni (0.9958, 0.4979, 0.5000)

Fermi-level density of states ... 4.79 states/eV/cell
Formation enthalpy at 0 K ... -0.43 eV per atom
SG ... P-6m2 (187)

---

[9]
## MnRe2Se (PBE)

Data for a relaxed MnRe2Se crystal.

a = 4.3635 Å, b = 4.3635 Å, c = 3.0022 Å
α = 90.00°, β = 90.00°, γ = 90.00°
Fractional coordinates of all 4 atoms:
Mn (0.0000, 0.0000, 0.0000)
Re (0.0000, 0.5000, 0.5000)
Re (0.5000, 0.0000, 0.5000)
Se (0.5000, 0.5000, 0.0000)

Fermi-level density of states ... 3.24 states/eV/cell
E_form (uncorrected) ... 1.78 eV/f.u.
SG ... P4/mmm (123)

---

[10]
## Na2SnHg2Bi2 (PBE)

Data for a relaxed Na2SnHg2Bi2 crystal.

a = 8.9116 Å, b = 8.9116 Å, c = 8.9116 Å
α = 33.91°, β = 33.91°, γ = 33.91°
Fractional coordinates of all 7 atoms:
Na (0.1361, 0.1361, 0.1361)
Na (0.8639, 0.8639, 0.8639)
Sn (0.0000, 0.0000, 0.0000)
Hg (0.4367, 0.4367, 0.4367)
Hg (0.5633, 0.5633, 0.5633)
Bi (0.2725, 0.2725, 0.2725)
Bi (0.7275, 0.7275, 0.7275)

Fermi-level density of states ... 1.73 states/eV/cell
Formation enthalpy at 0 K ... -0.15 eV per atom
SG ... R-3m (166)

---

[11]
## Pm2DyPaBi4 (PBE)

Data for a relaxed Pm2DyPaBi4 crystal.

a = 7.8366 Å, b = 4.5176 Å, c = 7.8558 Å
α = 90.00°, β = 109.26°, γ = 90.00°
Fractional coordinates of all 8 atoms:
Pm (0.0000, 0.0000, 0.0000)
Pm (0.5000, 0.5000, 0.0000)
Dy (0.0000, 0.5000, 0.5000)
Pa (0.5000, 0.0000, 0.5000)
Bi (0.2481, 0.0000, 0.7423)
Bi (0.2514, 0.5000, 0.2561)
Bi (0.7486, 0.5000, 0.7439)
Bi (0.7519, 0.0000, 0.2577)

Fermi-level density of states ... 7.41 states/eV/cell
Formation enthalpy at 0 K ... -0.70 eV per atom
SG ... P2/m (10)

---

[12]
## Cs2BiAu (PBE)

Data for a relaxed Cs2BiAu crystal.

a = 4.2548 Å, b = 4.2548 Å, c = 37.3020 Å
α = 90.00°, β = 90.00°, γ = 120.00°
Fractional coordinates of all 12 atoms:
Cs (0.0000, 0.0000, 0.1004)
Cs (0.0000, 0.0000, 0.8996)
Cs (0.3333, 0.6667, 0.5663)
Cs (0.3333, 0.6667, 0.7670)
Cs (0.6667, 0.3333, 0.2330)
Cs (0.6667, 0.3333, 0.4337)
Bi (0.0000, 0.0000, 0.0000)
Bi (0.3333, 0.6667, 0.6667)
Bi (0.6667, 0.3333, 0.3333)
Au (0.0000, 0.0000, 0.5000)
Au (0.3333, 0.6667, 0.1667)
Au (0.6667, 0.3333, 0.8333)

Energy relative to the lowest polymorph listed for this composition ... 49.7 kJ/mol of atoms
Fermi-level density of states ... 7.22 states/eV/cell
Formation enthalpy at 0 K ... 0.07 eV per atom
SG ... R-3m (166)

---

[13]
## Cd2GePd3 (PBE)

Data for a relaxed Cd2GePd3 crystal.

a = 4.4225 Å, b = 6.8585 Å, c = 7.0333 Å
α = 90.00°, β = 108.06°, γ = 90.00°
Fractional coordinates of all 12 atoms:
Cd (0.0000, 0.0000, 0.0000)
Cd (0.0000, 0.5000, 0.0000)
Cd (0.3330, 0.0000, 0.6675)
Cd (0.6670, 0.0000, 0.3325)
Ge (0.3424, 0.5000, 0.6863)
Ge (0.6576, 0.5000, 0.3137)
Pd (0.1785, 0.2861, 0.3560)
Pd (0.1785, 0.7139, 0.3560)
Pd (0.5000, 0.2612, 0.0000)
Pd (0.5000, 0.7388, 0.0000)
Pd (0.8215, 0.2861, 0.6440)
Pd (0.8215, 0.7139, 0.6440)

Energy relative to the lowest polymorph listed for this composition ... 0.5 kJ/mol of atoms
Fermi-level density of states ... 3.84 states/eV/cell
Formation enthalpy at 0 K ... -0.38 eV per atom
SG ... P2/m (10)

---

[14]
## Sm3Ga (PBE)

Data for a relaxed Sm3Ga crystal.

a = 3.4516 Å, b = 3.5106 Å, c = 10.2343 Å
α = 90.00°, β = 90.00°, γ = 90.00°
Fractional coordinates of all 4 atoms:
Sm (0.0000, 0.0000, 0.0000)
Sm (0.0000, 0.5000, 0.4258)
Sm (0.5000, 0.5000, 0.7376)
Ga (0.5000, 0.0000, 0.2458)

Energy relative to the lowest polymorph listed for this composition ... 22.7 kJ/mol of atoms
Fermi-level density of states ... 4.69 states/eV/cell
Formation enthalpy at 0 K ... -0.03 eV per atom
SG ... Pmm2 (25)

---

[15]
## La3Pm2Ho4 (PBE)

Data for a relaxed La3Pm2Ho4 crystal.

a = 10.1922 Å, b = 10.1922 Å, c = 6.2056 Å
α = 96.25°, β = 96.25°, γ = 71.45°
Fractional coordinates of all 18 atoms:
La (0.1233, 0.8767, 0.7500)
La (0.1974, 0.4782, 0.9077)
La (0.4782, 0.1974, 0.4077)
La (0.5218, 0.8026, 0.5923)
La (0.8026, 0.5218, 0.0923)
La (0.8767, 0.1233, 0.2500)
Pm (0.0181, 0.7542, 0.2073)
Pm (0.2458, 0.9819, 0.2927)
Pm (0.7542, 0.0181, 0.7073)
Pm (0.9819, 0.2458, 0.7927)
Ho (0.1108, 0.3461, 0.3613)
Ho (0.3263, 0.5606, 0.4608)
Ho (0.3461, 0.1108, 0.8613)
Ho (0.4394, 0.6737, 0.0392)
Ho (0.5606, 0.3263, 0.9608)
Ho (0.6539, 0.8892, 0.1387)
Ho (0.6737, 0.4394, 0.5392)
Ho (0.8892, 0.6539, 0.6387)

Energy relative to the lowest polymorph listed for this composition ... 6.9 kJ/mol of atoms
Fermi-level density of states ... 28.52 states/eV/cell
Formation enthalpy at 0 K ... 0.10 eV per atom
SG ... C2/c (15)

---

[16]
## BaZrRe2 (PBE)

Data for a relaxed BaZrRe2 crystal.

a = 3.2437 Å, b = 4.9603 Å, c = 4.9614 Å
α = 90.00°, β = 90.00°, γ = 90.00°
Fractional coordinates of all 4 atoms:
Ba (0.0000, 0.0000, 0.0000)
Zr (0.5000, 0.0000, 0.5000)
Re (0.0000, 0.5000, 0.5000)
Re (0.5000, 0.5000, 0.0000)

Energy relative to the lowest polymorph listed for this composition ... 65.4 kJ/mol of atoms
Fermi-level density of states ... 4.40 states/eV/cell
Formation enthalpy at 0 K ... 1.20 eV per atom
SG ... Pmmm (47)

---

[17]
## LaSnHAu (PBE)

Data for a relaxed LaSnHAu crystal.

a = 4.7797 Å, b = 4.7797 Å, c = 4.0618 Å
α = 90.00°, β = 90.00°, γ = 120.00°
Fractional coordinates of all 4 atoms:
La (0.0000, 0.0000, 0.0000)
Sn (0.6667, 0.3333, 0.5213)
H (0.3333, 0.6667, 0.0012)
Au (0.3333, 0.6667, 0.4688)

Final energy ... -18.1 eV per cell
Fermi-level density of states ... 1.62 states/eV/cell
SG ... P3m1 (156)

---

[18]
## CaTeMoN2 (PBE)

Data for a relaxed CaTeMoN2 crystal.

a = 4.0682 Å, b = 4.0682 Å, c = 5.6393 Å
α = 90.00°, β = 90.00°, γ = 90.00°
Fractional coordinates of all 5 atoms:
Ca (0.0000, 0.0000, 0.0000)
Te (0.5000, 0.5000, 0.0000)
Mo (0.5000, 0.5000, 0.5000)
N (0.0000, 0.5000, 0.5000)
N (0.5000, 0.0000, 0.5000)

Energy relative to the lowest polymorph listed for this composition ... 0.0 kJ/mol of atoms
Fermi-level density of states ... 2.05 states/eV/cell
E_form (uncorrected) ... -0.32 eV/f.u.
SG ... P4/mmm (123)

---

[19]
## SiHgCl2 (PBE)

Data for a relaxed SiHgCl2 crystal.

a = 4.7675 Å, b = 4.7675 Å, c = 7.9563 Å
α = 90.00°, β = 90.00°, γ = 90.00°
Fractional coordinates of all 8 atoms:
Si (0.0000, 0.0000, 0.0000)
Si (0.5000, 0.5000, 0.5000)
Hg (0.0000, 0.0000, 0.5000)
Hg (0.5000, 0.5000, 0.0000)
Cl (0.0000, 0.5000, 0.2500)
Cl (0.0000, 0.5000, 0.7500)
Cl (0.5000, 0.0000, 0.2500)
Cl (0.5000, 0.0000, 0.7500)

Energy relative to the lowest polymorph listed for this composition ... 56.6 kJ/mol of atoms
Fermi-level density of states ... 3.07 states/eV/cell
E_form (uncorrected) ... 0.70 eV/f.u.
SG ... I4/mmm (139)

---

[20]
## Ba2Pt (PBE)

Data for a relaxed Ba2Pt crystal.

a = 3.9420 Å, b = 3.9420 Å, c = 31.6021 Å
α = 90.00°, β = 90.00°, γ = 90.00°
Fractional coordinates of all 12 atoms:
Ba (0.0000, 0.2500, 0.3173)
Ba (0.0000, 0.2500, 0.4327)
Ba (0.0000, 0.7500, 0.5673)
Ba (0.0000, 0.7500, 0.6827)
Ba (0.5000, 0.2500, 0.0673)
Ba (0.5000, 0.2500, 0.1827)
Ba (0.5000, 0.7500, 0.8173)
Ba (0.5000, 0.7500, 0.9327)
Pt (0.0000, 0.2500, 0.8750)
Pt (0.0000, 0.7500, 0.1250)
Pt (0.5000, 0.2500, 0.6250)
Pt (0.5000, 0.7500, 0.3750)

Fermi-level density of states ... 11.00 states/eV/cell
Formation enthalpy at 0 K ... -0.50 eV per atom
SG ... I4_1/amd (141)

---

[21]
## TbPm4Ho2Tm2 (PBE)

Data for a relaxed TbPm4Ho2Tm2 crystal.

a = 8.0020 Å, b = 8.0020 Å, c = 7.9958 Å
α = 107.41°, β = 107.41°, γ = 36.77°
Fractional coordinates of all 9 atoms:
Tb (0.0000, 0.0000, 0.0000)
Pm (0.2228, 0.2228, 0.3319)
Pm (0.4458, 0.4458, 0.6693)
Pm (0.5542, 0.5542, 0.3307)
Pm (0.7772, 0.7772, 0.6681)
Ho (0.1115, 0.1115, 0.6691)
Ho (0.8885, 0.8885, 0.3309)
Tm (0.3324, 0.3324, 0.0001)
Tm (0.6676, 0.6676, 0.9999)

Fermi-level density of states ... 12.93 states/eV/cell
Formation enthalpy at 0 K ... 0.02 eV per atom
SG ... C2/m (12)

---

[22]
## CeSm4Hg3 (PBE)

Data for a relaxed CeSm4Hg3 crystal.

a = 3.7277 Å, b = 3.7277 Å, c = 16.2557 Å
α = 90.00°, β = 90.00°, γ = 90.00°
Fractional coordinates of all 8 atoms:
Ce (0.0000, 0.0000, 0.0000)
Sm (0.5000, 0.5000, 0.1411)
Sm (0.5000, 0.5000, 0.3813)
Sm (0.5000, 0.5000, 0.6187)
Sm (0.5000, 0.5000, 0.8589)
Hg (0.0000, 0.0000, 0.2590)
Hg (0.0000, 0.0000, 0.5000)
Hg (0.0000, 0.0000, 0.7410)

Fermi-level density of states ... 9.72 states/eV/cell
Formation enthalpy at 0 K ... -0.33 eV per atom
SG ... P4/mmm (123)

---

[23]
## Ca2In5Ir2Pd (PBE)

Data for a relaxed Ca2In5Ir2Pd crystal.

a = 10.5097 Å, b = 10.5097 Å, c = 3.9818 Å
α = 90.00°, β = 90.00°, γ = 90.00°
Fractional coordinates of all 20 atoms:
Ca (0.1759, 0.3241, 0.0000)
Ca (0.3241, 0.8241, 0.0000)
Ca (0.6759, 0.1759, 0.0000)
Ca (0.8241, 0.6759, 0.0000)
In (0.0000, 0.5000, 0.5000)
In (0.0637, 0.8025, 0.5000)
In (0.1975, 0.0637, 0.5000)
In (0.3025, 0.5637, 0.5000)
In (0.4363, 0.3025, 0.5000)
In (0.5000, 0.0000, 0.5000)
In (0.5637, 0.6975, 0.5000)
In (0.6975, 0.4363, 0.5000)
In (0.8025, 0.9363, 0.5000)
In (0.9363, 0.1975, 0.5000)
Ir (0.1252, 0.6252, 0.0000)
Ir (0.3748, 0.1252, 0.0000)
Ir (0.6252, 0.8748, 0.0000)
Ir (0.8748, 0.3748, 0.0000)
Pd (0.0000, 0.0000, 0.0000)
Pd (0.5000, 0.5000, 0.0000)

Fermi-level density of states ... 10.23 states/eV/cell
Formation enthalpy at 0 K ... -0.34 eV per atom
SG ... P4/mbm (127)

---

[24]
## NaSi2Au (PBE)

Data for a relaxed NaSi2Au crystal.

a = 4.7178 Å, b = 4.7178 Å, c = 17.5501 Å
α = 90.00°, β = 90.00°, γ = 90.00°
Fractional coordinates of all 16 atoms:
Na (0.0000, 0.0000, 0.0000)
Na (0.0000, 0.5000, 0.2500)
Na (0.5000, 0.0000, 0.7500)
Na (0.5000, 0.5000, 0.5000)
Si (0.0039, 0.2500, 0.6250)
Si (0.2500, 0.5039, 0.8750)
Si (0.2500, 0.9961, 0.3750)
Si (0.4961, 0.2500, 0.1250)
Si (0.5039, 0.7500, 0.1250)
Si (0.7500, 0.0039, 0.3750)
Si (0.7500, 0.4961, 0.8750)
Si (0.9961, 0.7500, 0.6250)
Au (0.0000, 0.0000, 0.5000)
Au (0.0000, 0.5000, 0.7500)
Au (0.5000, 0.0000, 0.2500)
Au (0.5000, 0.5000, 0.0000)

Fermi-level density of states ... 6.00 states/eV/cell
E_form (uncorrected) ... 0.64 eV/f.u.
SG ... I-42d (122)